No. 1
# ScP2Br

An optimized crystal structure of ScP2Br (GGA-PBE, Alexandria).

Cell: 3.303 3.303 7.948 Å, 90.00 90.00 90.00°
Fractional positions:
P1 0.500 0.500 0.234
P2 0.000 0.000 0.137
Sc1 0.000 0.000 0.459
Br1 0.500 0.500 0.670

Results
Energy relative to the lowest polymorph listed for this composition in kJ/mol of formula units: 82
Crystal system: tetragonal
ΔE_f (raw) in eV/f.u.: -2.502

=====

No. 2
# ZnRuAuSe2

An optimized crystal structure of ZnRuAuSe2 (GGA-PBE, Alexandria).

Cell: 5.145 4.737 5.145 Å, 90.00 90.00 90.00°
Fractional positions:
Ru1 0.500 0.500 0.500
Se1 0.000 0.000 0.500
Se2 0.500 0.000 0.000
Au1 0.000 0.000 0.000
Zn1 0.000 0.500 0.000

Results
Crystal system: tetragonal
ΔE_f (raw) in eV/f.u.: 5.362